ScTcGe | Alexandria via LeMat-Bulk | PBE | relaxed; SG = C2/m, No. 12; formation enthalpy at 0 K = -1.49 eV per formula unit; DOS(E_F) = 3.45 states/eV per cell; excess energy over the best structure of this formula in the dataset = 116.2 meV per atom; M_tot = 0.00 μB per atom; density = 6.89 g/cm³
1.0
5.170 -1.691 0.000
5.170 1.691 0.000
-3.941 0.000 5.940
Sc Tc Ge
2 2 2
Cartesian
-0.455 0.000 1.717
6.854 0.000 4.223
-0.288 0.000 5.603
6.688 0.000 0.337
2.370 0.000 1.943
4.030 0.000 3.997